{"formula": "Ca2BiB2Rh5", "functional": "GGA-PBE", "state": "optimized geometry", "lattice": [[-1.452, 1.927, -2.047], [-7.532, 1.056, 6.335], [4.541, 7.780, 4.102]], "species": ["Ca", "Ca", "Ca", "Ca", "Bi", "Bi", "B", "B", "B", "B", "Rh", "Rh", "Rh", "Rh", "Rh", "Rh", "Rh", "Rh", "Rh", "Rh"], "fractional_positions": [[0.000, 0.677, 0.177], [0.000, 0.323, 0.823], [0.000, 0.177, 0.323], [0.000, 0.823, 0.677], [0.000, 0.000, 0.000], [0.000, 0.500, 0.500], [0.000, 0.118, 0.618], [0.000, 0.882, 0.382], [0.000, 0.618, 0.882], [0.000, 0.382, 0.118], [0.500, 0.232, 0.070], [0.500, 0.768, 0.930], [0.500, 0.070, 0.768], [0.500, 0.732, 0.430], [0.500, 0.930, 0.232], [0.500, 0.268, 0.570], [0.500, 0.570, 0.732], [0.500, 0.430, 0.268], [0.500, 0.500, 0.000], [0.500, 0.000, 0.500]], "dos_ef_per_ev_atom": 0.530, "mass_density_g_cm3": 8.84, "e_form_ev_per_atom": -0.52, "final_energy_ev_per_cell": -126.32}

---

{"formula": "CaBiB2Rh", "functional": "GGA-PBE", "state": "optimized geometry", "lattice": [[-2.513, -3.538, 1.751], [1.090, -2.719, -3.928], [3.808, -1.625, 2.182]], "species": ["Ca", "B", "B", "Rh", "Bi"], "fractional_positions": [[0.000, 0.000, 0.000], [0.000, 0.000, 0.500], [0.500, 0.000, 0.000], [0.000, 0.500, 0.000], [0.500, 0.500, 0.500]], "dos_ef_per_ev_atom": 0.703, "mass_density_g_cm3": 5.78, "e_form_ev_per_atom": 1.91, "final_energy_ev_per_cell": -17.05}

---

{"formula": "SrCa2BiB", "functional": "GGA-PBE", "state": "optimized geometry", "lattice": [[5.931, 0.000, 0.000], [0.000, 6.353, 0.000], [0.000, 0.000, 5.931]], "species": ["Sr", "Ca", "Ca", "B", "Bi"], "fractional_positions": [[0.000, 0.500, 0.000], [0.000, 0.000, 0.500], [0.500, 0.000, 0.000], [0.500, 0.500, 0.500], [0.000, 0.000, 0.000]], "dos_ef_per_ev_atom": 0.376, "mass_density_g_cm3": 2.88, "e_form_ev_per_atom": 0.70, "final_energy_ev_per_cell": -12.72}

---

{"formula": "SrCaBiB2", "functional": "GGA-PBE", "state": "optimized geometry", "lattice": [[5.033, 0.000, 0.000], [0.000, 6.016, 0.000], [0.000, 0.000, 5.033]], "species": ["Sr", "Ca", "B", "B", "Bi"], "fractional_positions": [[0.000, 0.500, 0.000], [0.500, 0.500, 0.500], [0.000, 0.000, 0.500], [0.500, 0.000, 0.000], [0.000, 0.000, 0.000]], "dos_ef_per_ev_atom": 0.610, "mass_density_g_cm3": 3.90, "e_form_ev_per_atom": 1.48, "final_energy_ev_per_cell": -13.52}

---

{"formula": "Ca2BiBTe", "functional": "GGA-PBE", "state": "optimized geometry", "lattice": [[-4.263, -0.029, -3.442], [2.739, -1.503, -3.380], [-1.102, -5.179, 1.409]], "species": ["Ca", "Ca", "Te", "Bi", "B"], "fractional_positions": [[0.000, 0.000, 0.500], [0.500, 0.000, 0.000], [0.500, 0.500, 0.500], [0.000, 0.500, 0.000], [0.000, 0.000, 0.000]], "dos_ef_per_ev_atom": 0.478, "mass_density_g_cm3": 5.14, "formation_energy_uncorrected_ev_per_atom": -0.29, "final_energy_ev_per_cell": -19.13}

---

{"formula": "CaVBiB2", "functional": "GGA-PBE", "state": "optimized geometry", "lattice": [[4.664, 0.000, 0.000], [0.000, 4.741, 0.000], [0.000, 0.000, 4.664]], "species": ["Ca", "B", "B", "Bi", "V"], "fractional_positions": [[0.000, 0.000, 0.000], [0.000, 0.000, 0.500], [0.500, 0.000, 0.000], [0.500, 0.500, 0.500], [0.000, 0.500, 0.000]], "dos_ef_per_ev_atom": 1.363, "mass_density_g_cm3": 5.18, "e_form_ev_per_atom": 2.32, "final_energy_ev_per_cell": -16.78}

---

{"formula": "CaZrBi2B", "functional": "GGA-PBE", "state": "optimized geometry", "lattice": [[-4.899, -1.714, 0.138], [1.012, -3.160, -3.317], [1.304, -3.434, 3.670]], "species": ["Ca", "B", "Bi", "Bi", "Zr"], "fractional_positions": [[0.000, 0.500, 0.000], [0.000, 0.000, 0.000], [0.000, 0.000, 0.500], [0.500, 0.000, 0.000], [0.500, 0.500, 0.500]], "dos_ef_per_ev_atom": 0.783, "mass_density_g_cm3": 7.35, "e_form_ev_per_atom": 0.55, "final_energy_ev_per_cell": -22.23}

---

{"formula": "CdBiB3", "functional": "GGA-PBE", "state": "optimized geometry", "lattice": [[-2.146, 4.249, -0.472], [-0.202, -0.628, -4.738], [-4.270, -2.106, 0.461]], "species": ["B", "B", "B", "Bi", "Cd"], "fractional_positions": [[0.000, 0.500, 0.000], [0.000, 0.000, 0.500], [0.500, 0.000, 0.000], [0.000, 0.000, 0.000], [0.500, 0.500, 0.500]], "relative_energy_ev_per_atom": 0.249, "dos_ef_per_ev_atom": 0.535, "mass_density_g_cm3": 5.37, "e_form_ev_per_atom": 2.35, "final_energy_ev_per_cell": -13.06}

---

{"formula": "CdBi2B", "functional": "GGA-PBE", "state": "optimized geometry", "lattice": [[0.000, 3.636, 3.636], [3.636, 0.000, 3.636], [3.636, 3.636, 0.000]], "species": ["B", "Bi", "Bi", "Cd"], "fractional_positions": [[0.000, 0.000, 0.000], [0.250, 0.250, 0.250], [0.750, 0.750, 0.750], [0.500, 0.500, 0.500]], "relative_energy_ev_per_atom": 0.419, "dos_ef_per_ev_atom": 0.472, "mass_density_g_cm3": 9.35, "e_form_ev_per_atom": 0.96, "final_energy_ev_per_cell": -11.51}

---

{"formula": "CdBiB2", "functional": "GGA-PBE", "state": "optimized geometry", "lattice": [[5.563, 0.000, 0.000], [0.000, 5.563, 0.000], [2.782, 2.782, 5.263]], "species": ["B", "B", "B", "B", "Bi", "Bi", "Cd", "Cd"], "fractional_positions": [[0.620, 0.125, 0.250], [0.130, 0.625, 0.250], [0.375, 0.380, 0.750], [0.875, 0.870, 0.750], [0.000, 0.000, 0.000], [0.750, 0.250, 0.500], [0.500, 0.500, 0.000], [0.250, 0.750, 0.500]], "relative_energy_ev_per_atom": 0.000, "dos_ef_per_ev_atom": 0.557, "mass_density_g_cm3": 6.99, "e_form_ev_per_atom": 1.23, "final_energy_ev_per_cell": -26.45}

---

{"formula": "CdBi2B", "functional": "GGA-PBE", "state": "optimized geometry", "lattice": [[-5.561, 0.763, -2.953], [0.519, -5.815, -2.480], [-5.216, -4.692, 1.799]], "species": ["B", "B", "Bi", "Bi", "Bi", "Bi", "Cd", "Cd"], "fractional_positions": [[0.500, 0.500, 0.000], [0.250, 0.750, 0.500], [0.557, 0.125, 0.250], [0.193, 0.625, 0.250], [0.375, 0.443, 0.750], [0.875, 0.807, 0.750], [0.000, 0.000, 0.000], [0.750, 0.250, 0.500]], "relative_energy_ev_per_atom": 0.000, "dos_ef_per_ev_atom": 0.350, "mass_density_g_cm3": 7.86, "e_form_ev_per_atom": 0.54, "final_energy_ev_per_cell": -26.36}

---

{"formula": "CdBiB2", "functional": "GGA-PBE", "state": "optimized geometry", "lattice": [[0.000, 3.253, 3.253], [3.253, 0.000, 3.253], [3.253, 3.253, 0.000]], "species": ["B", "B", "Bi", "Cd"], "fractional_positions": [[0.250, 0.250, 0.250], [0.750, 0.750, 0.750], [0.500, 0.500, 0.500], [0.000, 0.000, 0.000]], "relative_energy_ev_per_atom": 0.330, "dos_ef_per_ev_atom": 0.544, "mass_density_g_cm3": 8.27, "e_form_ev_per_atom": 1.56, "final_energy_ev_per_cell": -11.90}

---

{"formula": "CdBiB3", "functional": "GGA-PBE", "state": "optimized geometry", "lattice": [[-3.759, -2.397, -0.451], [2.176, -3.669, 1.371], [-1.103, 0.931, 4.242]], "species": ["B", "B", "B", "Bi", "Cd"], "fractional_positions": [[0.000, 0.500, 0.000], [0.000, 0.000, 0.500], [0.500, 0.000, 0.000], [0.500, 0.500, 0.500], [0.000, 0.000, 0.000]], "relative_energy_ev_per_atom": 0.000, "dos_ef_per_ev_atom": 0.469, "mass_density_g_cm3": 6.53, "e_form_ev_per_atom": 2.10, "final_energy_ev_per_cell": -14.31}

---

{"formula": "CdBiBF10", "functional": "GGA-PBE", "state": "optimized geometry", "lattice": [[8.507, 0.041, 0.000], [-0.641, 9.253, 0.000], [0.000, 0.000, 9.566]], "species": ["Cd", "Cd", "Cd", "Cd", "Bi", "Bi", "Bi", "Bi", "B", "B", "B", "B", "F", "F", "F", "F", "F", "F", "F", "F", "F", "F", "F", "F", "F", "F", "F", "F", "F", "F", "F", "F", "F", "F", "F", "F", "F", "F", "F", "F", "F", "F", "F", "F", "F", "F", "F", "F", "F", "F", "F", "F"], "fractional_positions": [[0.827, 0.209, 0.522], [0.173, 0.291, 0.022], [0.173, 0.791, 0.478], [0.827, 0.709, 0.978], [0.664, 0.269, 0.932], [0.336, 0.231, 0.432], [0.336, 0.731, 0.068], [0.664, 0.769, 0.568], [0.063, 0.505, 0.726], [0.937, 0.995, 0.226], [0.937, 0.495, 0.274], [0.063, 0.005, 0.774], [0.951, 0.585, 0.797], [0.049, 0.915, 0.297], [0.049, 0.415, 0.203], [0.951, 0.085, 0.703], [0.154, 0.598, 0.635], [0.846, 0.902, 0.135], [0.846, 0.402, 0.365], [0.154, 0.098, 0.865], [0.165, 0.444, 0.824], [0.835, 0.056, 0.324], [0.835, 0.556, 0.176], [0.165, 0.944, 0.676], [0.983, 0.395, 0.646], [0.017, 0.105, 0.146], [0.017, 0.605, 0.354], [0.983, 0.895, 0.854], [0.663, 0.053, 0.919], [0.337, 0.447, 0.419], [0.337, 0.947, 0.081], [0.663, 0.553, 0.581], [0.665, 0.492, 0.924], [0.335, 0.008, 0.424], [0.335, 0.508, 0.076], [0.665, 0.992, 0.576], [0.908, 0.296, 0.941], [0.092, 0.204, 0.441], [0.092, 0.704, 0.059], [0.908, 0.796, 0.559], [0.421, 0.265, 0.922], [0.579, 0.235, 0.422], [0.579, 0.735, 0.078], [0.421, 0.765, 0.578], [0.657, 0.268, 0.142], [0.343, 0.232, 0.642], [0.343, 0.732, 0.858], [0.657, 0.768, 0.358], [0.679, 0.275, 0.716], [0.321, 0.225, 0.216], [0.321, 0.725, 0.284], [0.679, 0.775, 0.784]], "dos_ef_per_ev_atom": 0.000, "mass_density_g_cm3": 4.60, "formation_energy_uncorrected_ev_per_atom": -2.23, "final_energy_ev_per_cell": -236.94}

---

{"formula": "HfCdBi2B", "functional": "GGA-PBE", "state": "optimized geometry", "lattice": [[-0.134, -1.754, -5.212], [5.333, 1.003, -0.475], [1.113, -5.114, 1.693]], "species": ["B", "Hf", "Bi", "Bi", "Cd"], "fractional_positions": [[0.500, 0.500, 0.500], [0.000, 0.500, 0.000], [0.000, 0.000, 0.500], [0.500, 0.000, 0.000], [0.000, 0.000, 0.000]], "dos_ef_per_ev_atom": 1.224, "mass_density_g_cm3": 7.25, "e_form_ev_per_atom": 1.87, "final_energy_ev_per_cell": -15.94}

---

{"formula": "LiCdBiB2", "functional": "GGA-PBE", "state": "optimized geometry", "lattice": [[-1.436, 0.929, -3.992], [4.954, -2.635, -2.396], [-2.089, -3.805, -0.134]], "species": ["B", "B", "Li", "Bi", "Cd"], "fractional_positions": [[0.000, 0.000, 0.500], [0.500, 0.000, 0.000], [0.500, 0.500, 0.500], [0.000, 0.500, 0.000], [0.000, 0.000, 0.000]], "dos_ef_per_ev_atom": 0.546, "mass_density_g_cm3": 5.05, "e_form_ev_per_atom": 1.45, "final_energy_ev_per_cell": -12.83}

---

{"formula": "NaCd2BiB", "functional": "GGA-PBE", "state": "optimized geometry", "lattice": [[-4.298, 3.114, 2.638], [-2.606, -3.978, 0.450], [2.490, -1.035, 5.278]], "species": ["Na", "B", "Bi", "Cd", "Cd"], "fractional_positions": [[0.500, 0.500, 0.500], [0.000, 0.500, 0.000], [0.000, 0.000, 0.000], [0.000, 0.000, 0.500], [0.500, 0.000, 0.000]], "dos_ef_per_ev_atom": 0.593, "mass_density_g_cm3": 4.63, "e_form_ev_per_atom": 0.91, "final_energy_ev_per_cell": -9.15}

---

{"formula": "CdBiBO2", "functional": "GGA-PBE", "state": "optimized geometry", "lattice": [[-2.328, -2.946, -2.010], [0.228, -2.867, 3.938], [-3.561, 1.786, 1.507]], "species": ["B", "Bi", "O", "O", "Cd"], "fractional_positions": [[0.000, 0.500, 0.000], [0.000, 0.000, 0.000], [0.000, 0.000, 0.500], [0.500, 0.000, 0.000], [0.500, 0.500, 0.500]], "dos_ef_per_ev_atom": 0.349, "mass_density_g_cm3": 6.84, "formation_energy_uncorrected_ev_per_atom": 0.43, "final_energy_ev_per_cell": -19.22}

---

{"formula": "CdBiBO4", "functional": "GGA-PBE", "state": "optimized geometry", "lattice": [[6.122, 0.000, 0.000], [3.061, 5.345, -0.003], [3.061, 1.625, 5.092]], "species": ["Cd", "Cd", "Bi", "Bi", "B", "B", "O", "O", "O", "O", "O", "O", "O", "O"], "fractional_positions": [[0.500, 0.000, 0.500], [0.000, 0.000, 0.500], [0.000, 0.000, 0.000], [0.000, 0.500, 0.500], [0.628, 0.622, 0.122], [0.372, 0.378, 0.878], [0.726, 0.724, 0.824], [0.274, 0.676, 0.776], [0.726, 0.324, 0.224], [0.274, 0.276, 0.176], [0.319, 0.727, 0.227], [0.727, 0.727, 0.227], [0.273, 0.273, 0.773], [0.681, 0.273, 0.773]], "dos_ef_per_ev_atom": 0.175, "mass_density_g_cm3": 7.90, "formation_energy_uncorrected_ev_per_atom": -1.19, "final_energy_ev_per_cell": -79.30}

---

{"formula": "Cd2BiB2O6", "functional": "GGA-PBE", "state": "optimized geometry", "lattice": [[-2.726, -3.361, 2.958], [3.903, -1.746, -3.031], [4.613, 0.987, 5.372]], "species": ["Cd", "Cd", "Bi", "B", "B", "O", "O", "O", "O", "O", "O"], "fractional_positions": [[0.333, 0.667, 0.340], [0.667, 0.333, 0.660], [0.000, 0.000, 0.000], [0.333, 0.667, 0.798], [0.667, 0.333, 0.202], [0.317, 0.394, 0.796], [0.077, 0.683, 0.796], [0.606, 0.923, 0.796], [0.683, 0.606, 0.204], [0.923, 0.317, 0.204], [0.394, 0.077, 0.204]], "dos_ef_per_ev_atom": 0.229, "mass_density_g_cm3": 5.38, "formation_energy_uncorrected_ev_per_atom": -1.57, "final_energy_ev_per_cell": -66.13}